First-principles (PBE) data for a relaxed structure of DyThCuAu, as listed in Alexandria.

It has space group Amm2 (No. 38), with a = 4.480 Å, b = 3.823 Å, c = 11.199 Å, α = 90.00°, β = 90.00° and γ = 90.00°. The inequivalent atoms are Dy at (0.000, 0.000, 0.000), Th at (0.500, 0.000, 0.716), Cu at (0.000, 0.000, 0.276) and Au at (0.500, 0.000, 0.436).

The value obtained for the energy above the most stable polymorph in this dataset is 0 meV per atom.



First-principles (PBE) data for a relaxed structure of Sr2IrSN, as listed in Alexandria.

It has space group P4/mmm (No. 123), with a = 5.423 Å, b = 5.423 Å, c = 3.756 Å, α = 90.00°, β = 90.00° and γ = 90.00°. The inequivalent atoms are Sr at (0.000, 0.500, 0.000), Ir at (0.000, 0.000, 0.500), S at (0.500, 0.500, 0.500) and N at (0.000, 0.000, 0.000).

The value obtained for the formation energy (no corrections) is -1040 meV per atom.



First-principles (PBE) data for a relaxed structure of Ca4Ac4Sm, as listed in Alexandria.

It has space group I4/mmm (No. 139), with a = 11.915 Å, b = 11.915 Å, c = 5.336 Å, α = 90.00°, β = 90.00° and γ = 90.00°. The inequivalent atoms are Ca at (0.000, 0.332, 0.000), Ac at (0.161, 0.161, 0.500) and Sm at (0.000, 0.000, 0.000).

The calculation puts the total energy at -3.19 eV/atom.



First-principles (PBE) data for a relaxed structure of LaICl2, as listed in Alexandria.

It has space group Fm-3m (No. 225), with a = 7.514 Å, b = 7.514 Å, c = 7.514 Å, α = 90.00°, β = 90.00° and γ = 90.00°. The inequivalent atoms are La at (0.000, 0.000, 0.000), I at (0.000, 0.000, 0.500) and Cl at (0.250, 0.250, 0.250).

The value obtained for the formation energy (no corrections) is -1602 meV per atom. The value obtained for the energy above the most stable polymorph in this dataset is 486 meV per atom.



First-principles (PBE) data for a relaxed structure of ZrIn2GeS, as listed in Alexandria.

It has space group P4/mmm (No. 123), with a = 5.734 Å, b = 5.734 Å, c = 4.774 Å, α = 90.00°, β = 90.00° and γ = 90.00°. The inequivalent atoms are Zr at (0.000, 0.000, 0.000), In at (0.000, 0.500, 0.000), Ge at (0.500, 0.500, 0.500) and S at (0.000, 0.000, 0.500).

The value obtained for the formation energy (no corrections) is 322 meV per atom. The value obtained for the energy above the most stable polymorph in this dataset is 64 meV per atom.



First-principles (PBE) data for a relaxed structure of Rh2WI2, as listed in Alexandria.

It has space group I4/mmm (No. 139), with a = 5.647 Å, b = 5.647 Å, c = 7.907 Å, α = 90.00°, β = 90.00° and γ = 90.00°. The inequivalent atoms are Rh at (0.000, 0.000, 0.206), W at (0.000, 0.000, 0.500) and I at (0.000, 0.500, 0.250).

The value obtained for the formation energy (no corrections) is 1078 meV per atom. The value obtained for the energy above the most stable polymorph in this dataset is 131 meV per atom.



First-principles (PBE) data for a relaxed structure of PmThCuAg, as listed in Alexandria.

It has space group F-43m (No. 216), with a = 7.332 Å, b = 7.332 Å, c = 7.332 Å, α = 90.00°, β = 90.00° and γ = 90.00°. The inequivalent atoms are Pm at (0.000, 0.000, 0.000), Th at (0.000, 0.000, 0.500), Cu at (0.250, 0.250, 0.250) and Ag at (0.250, 0.250, 0.750).

The calculation puts the total energy at -4.86 eV/atom.



First-principles (PBE) data for a relaxed structure of DyLuGe, as listed in Alexandria.

It has space group P3m1 (No. 156), with a = 4.6749 Å, b = 4.6749 Å, c = 4.0986 Å, α = 90.00°, β = 90.00° and γ = 120.00°. The inequivalent atoms are Dy at (0.0000, 0.0000, 0.0000), Lu at (0.3333, 0.6667, 0.4827) and Ge at (0.6667, 0.3333, 0.6301).

The value obtained for the energy above the most stable polymorph in this dataset is 125 meV per atom.



First-principles (PBE) data for a relaxed structure of YSc2Mo, as listed in Alexandria.

It has space group Cm (No. 8), with a = 10.091 Å, b = 3.149 Å, c = 5.793 Å, α = 90.00°, β = 97.88° and γ = 90.00°. The inequivalent atoms are Y at (0.000, 0.000, 0.000), Sc at (0.232, 0.000, 0.697), Sc at (0.477, 0.000, 0.463) and Mo at (0.241, 0.500, 0.262).

The value obtained for the energy above the most stable polymorph in this dataset is 152 meV per atom.